DFT (PBE) results for a relaxed Ca7Ga2Cu2 crystal.

Calculated values
energy relative to the elements	-86	meV per atom
SG	Cmmm (65)
total moment	0.000	μB per atom
DOS at the Fermi energy	8.152	states/eV/f.u.
crystal system	orthorhombic

Cell lengths 6.9860, 6.9860, 7.3631 Å; angles 90.00, 90.00, 111.40 degrees
With the nearest neighbours (Å) after each atom.
Atoms (fractional coordinates):
Ca 0.0000 0.0000 0.0000  2 Cu 3.47
Ca 0.0000 0.5000 0.2684  2 Cu 2.85
Ca 0.0000 0.5000 0.7316  2 Cu 2.85
Ca 0.5000 0.0000 0.2684  2 Cu 2.85
Ca 0.5000 0.0000 0.7316  2 Cu 2.85
Ca 0.5000 0.5000 0.2555  2 Cu 2.97, 2 Ga 3.22
Ca 0.5000 0.5000 0.7445  2 Cu 2.97, 2 Ga 3.22
Ga 0.1612 0.1612 0.5000  1 Ga 2.54
Ga 0.8388 0.8388 0.5000  1 Ga 2.54
Cu 0.3009 0.6991 0.0000  6 Ca 2.85-2.97
Cu 0.6991 0.3009 0.0000  6 Ca 2.85-2.97

=====

DFT (PBE) results for a relaxed La2NpP3Rh4 crystal.

Calculated values
energy relative to the elements	-966	meV per atom
SG	P-4m2 (115)
total moment	0.410	μB per atom
DOS at the Fermi energy	8.621	states/eV/f.u.
crystal system	tetragonal

Cell lengths 4.0928, 4.0928, 11.0749 Å; angles 90.00, 90.00, 90.00 degrees
With the nearest neighbours (Å) after each atom.
Atoms (fractional coordinates):
La 0.0000 0.5000 0.2285  4 P 3.12, 8 Rh 3.14-3.25
La 0.5000 0.0000 0.7715  4 P 3.12, 8 Rh 3.14-3.25
Np 0.0000 0.0000 0.5000  4 Rh 2.71, 4 P 2.89
P 0.0000 0.5000 0.8768  5 Rh 2.39-2.46
P 0.5000 0.0000 0.1232  5 Rh 2.39-2.46
P 0.5000 0.5000 0.5000  4 Rh 2.71, 4 Np 2.89
Rh 0.0000 0.0000 0.0000  4 P 2.46
Rh 0.0000 0.5000 0.6608  1 P 2.39
Rh 0.5000 0.0000 0.3392  1 P 2.39
Rh 0.5000 0.5000 0.0000  4 P 2.46

=====

DFT (PBE) results for a relaxed Li2ZrPb crystal.

Calculated values
energy relative to the elements	74	meV per atom
SG	Cm (8)
total moment	0.000	μB per atom
DOS at the Fermi energy	2.635	states/eV/f.u.
crystal system	monoclinic

Cell lengths 4.9612, 4.9612, 5.8389 Å; angles 98.81, 98.81, 37.75 degrees
With the nearest neighbours (Å) after each atom.
Atoms (fractional coordinates):
Li 0.0000 0.0000 0.0000  3 Li 2.86-2.90, 3 Pb 2.94-2.98
Li 0.7444 0.7444 0.2080  3 Li 2.86-2.90, 3 Zr 3.06-3.17, 2 Pb 3.07
Zr 0.5023 0.5023 0.5021  3 Pb 2.95-3.08, 3 Li 3.06-3.17, 2 Zr 3.21
Pb 0.2582 0.2582 0.7638  5 Li 2.94-3.07, 3 Zr 2.95-3.08, 2 Pb 3.21

=====

DFT (PBE) results for a relaxed LaTcNi crystal.

Calculated values
energy relative to the elements	220	meV per atom
excess energy over the best structure of this formula in the dataset	289	meV/atom
SG	Fmm2 (42)
total moment	0.001	μB per atom
DOS at the Fermi energy	4.471	states/eV/f.u.
crystal system	orthorhombic

Cell lengths 5.6179, 5.5507, 3.3934 Å; angles 73.40, 71.23, 35.37 degrees
With the nearest neighbours (Å) after each atom.
Atoms (fractional coordinates):
La 0.0000 0.0000 0.0000  3 Tc 2.87-3.18, 3 Ni 2.94-3.13
Tc 0.7156 0.7156 0.2844  4 Ni 2.44-2.59
Ni 0.2913 0.2913 0.7087  4 Tc 2.44-2.59